(1)
# GGA-PBEsol AlTeSe2, optimized geometry
# Space group: R3m
# Excess energy over the best structure of this formula in the dataset in eV/atom: 0.3011
# Spin magnetization in μB/f.u.: 0.00
# Formation energy without anion corrections in eV/atom: -0.1546
data_AlTeSe2
_chemical_formula_sum 'Al1 Te1 Se2'
_cell_length_a 3.7703
_cell_length_b 3.7703
_cell_length_c 7.7805
_cell_angle_alpha 75.98
_cell_angle_beta 75.98
_cell_angle_gamma 60.00
_space_group_name_H-M_alt 'P 1'
_space_group_IT_number 1
loop_
_space_group_symop_operation_xyz
'x,y,z'
loop_
_atom_site_label
_atom_site_fract_x
_atom_site_fract_y
_atom_site_fract_z
Te1 0.5061 0.5061 0.4818
Al1 0.2577 0.2577 0.2269
Se1 0.9804 0.9804 0.0587
Se2 0.7558 0.7558 0.7326

***

(2)
# GGA-PBEsol SrSi2Sb, optimized geometry
# Space group: R3m
# Spin magnetization in μB/f.u.: 0.00
# Formation energy without anion corrections in eV/atom: -0.0766
data_SrSi2Sb
_chemical_formula_sum 'Sr1 Si2 Sb1'
_cell_length_a 3.7880
_cell_length_b 3.7880
_cell_length_c 8.2496
_cell_angle_alpha 76.73
_cell_angle_beta 76.73
_cell_angle_gamma 60.00
_space_group_name_H-M_alt 'P 1'
_space_group_IT_number 1
loop_
_space_group_symop_operation_xyz
'x,y,z'
loop_
_atom_site_label
_atom_site_fract_x
_atom_site_fract_y
_atom_site_fract_z
Sb1 0.2652 0.2652 0.2045
Si1 0.0203 0.0203 0.9391
Si2 0.7271 0.7271 0.8188
Sr1 0.4874 0.4874 0.5377